Density functional theory data (PBE) for crystalline AcNi4B at its relaxed geometry.

Unit cell a=7.058 b=3.503 c=6.848 alpha=90.00 beta=90.00 gamma=90.00
Space group Pmma (No. 51)
Asymmetric unit:
1 Ac 0.250 0.000 0.097 (multiplicity 2)
2 Ni 0.000 0.000 0.500 (multiplicity 2)
3 Ni 0.078 0.500 0.747 (multiplicity 4)
4 Ni 0.250 0.500 0.446 (multiplicity 2)
5 B 0.250 0.000 0.651 (multiplicity 2)

Density functional theory data (PBE) for crystalline AcNi6B4 at its relaxed geometry.

Unit cell a=6.864 b=8.194 c=5.718 alpha=90.00 beta=125.30 gamma=90.00
Space group Cm (No. 8)
Asymmetric unit:
1 Ac 0.000 0.000 0.000 (multiplicity 2)
2 Ni 0.007 0.500 0.300 (multiplicity 2)
3 Ni 0.062 0.353 0.952 (multiplicity 4)
4 Ni 0.169 0.000 0.613 (multiplicity 2)
5 Ni 0.375 0.260 0.474 (multiplicity 4)
6 B 0.218 0.215 0.792 (multiplicity 4)
7 B 0.298 0.500 0.319 (multiplicity 2)
8 B 0.461 0.000 0.605 (multiplicity 2)

Density functional theory data (PBE) for crystalline AcNiB4 at its relaxed geometry.

Unit cell a=8.068 b=9.533 c=3.654 alpha=90.00 beta=90.00 gamma=90.00
Space group Cmmm (No. 65)
Asymmetric unit:
1 Ac 0.000 0.179 0.000 (multiplicity 4)
2 Ni 0.152 0.500 0.000 (multiplicity 4)
3 B 0.000 0.407 0.500 (multiplicity 4)
4 B 0.207 0.000 0.500 (multiplicity 4)
5 B 0.209 0.338 0.500 (multiplicity 8)

Density functional theory data (PBE) for crystalline AcNi8B2 at its relaxed geometry.

Unit cell a=4.759 b=4.759 c=7.308 alpha=90.00 beta=90.00 gamma=90.00
Space group P4/mmm (No. 123)
Asymmetric unit:
1 Ac 0.000 0.000 0.000 (multiplicity 1)
2 Ni 0.252 0.252 0.333 (multiplicity 8)
3 B 0.000 0.500 0.500 (multiplicity 2)

Density functional theory data (PBE) for crystalline Ac2NiB10 at its relaxed geometry.

Unit cell a=5.785 b=11.499 c=4.290 alpha=90.00 beta=90.00 gamma=90.00
Space group Pbam (No. 55)
Asymmetric unit:
1 Ac 0.196 0.136 0.000 (multiplicity 4)
2 Ni 0.000 0.500 0.500 (multiplicity 2)
3 B 0.042 0.311 0.500 (multiplicity 4)
4 B 0.126 0.957 0.500 (multiplicity 4)
5 B 0.153 0.803 0.500 (multiplicity 4)
6 B 0.204 0.386 0.203 (multiplicity 8)

Density functional theory data (PBE) for crystalline AcNi6B3 at its relaxed geometry.

Unit cell a=5.6330 b=5.6330 c=13.5976 alpha=90.00 beta=90.00 gamma=120.00
Space group R3m (No. 160, hexagonal axes)
Asymmetric unit:
1 Ac 0.0000 0.0000 0.0000 (multiplicity 3)
2 Ni 0.0392 0.5196 0.0765 (multiplicity 9)
3 Ni 0.1768 0.3537 0.2249 (multiplicity 9)
4 B 0.0000 0.0000 0.2996 (multiplicity 3)
5 B 0.0000 0.0000 0.6591 (multiplicity 3)
6 B 0.0000 0.0000 0.7885 (multiplicity 3)

| no. | ΔH_f (0 K) (meV per atom) |
| --- | --- |
| 1 | -193 |
| 2 | -79 |
| 3 | -241 |
| 4 | 109 |
| 5 | -493 |
| 6 | -172 |